Lu2CuTe3 | PBE | relaxed

The space group is Pnma (No. 62) and the conventional cell measures 10.827, 4.052 and 14.221 Å, with angles of 90.00, 90.00 and 90.00 degrees. The distinct sites, in fractional coordinates, are Lu at (0.021, 0.250, 0.245), Lu at (0.223, 0.750, 0.520), Cu at (0.237, 0.250, 0.722), Te at (0.041, 0.250, 0.604), Te at (0.087, 0.750, 0.096) and Te at (0.232, 0.750, 0.849).

Its total energy is -110.355 eV per cell. Its offset from the most stable computed form is 0 kJ/mol of formula units. The total magnetic moment comes out at 0.0 μB/f.u.

***

LuCuTe2 | PBE | relaxed

The space group is F-43m (No. 216) and the conventional cell measures 7.287, 7.287 and 7.287 Å, with angles of 90.00, 90.00 and 90.00 degrees. The distinct sites, in fractional coordinates, are Lu at (0.000, 0.000, 0.000), Cu at (0.250, 0.250, 0.250), Te at (0.000, 0.000, 0.500) and Te at (0.250, 0.250, 0.750).

Its total energy is -59.860 eV per cell. The total magnetic moment comes out at 0.0 μB/f.u.

***

Lu2CuTe | PBE | relaxed

The space group is F-43m (No. 216) and the conventional cell measures 7.201, 7.201 and 7.201 Å, with angles of 90.00, 90.00 and 90.00 degrees. The distinct sites, in fractional coordinates, are Lu at (0.000, 0.000, 0.000), Lu at (0.250, 0.250, 0.250), Cu at (0.250, 0.250, 0.750) and Te at (0.000, 0.000, 0.500).

Its total energy is -62.113 eV per cell. The total magnetic moment comes out at 0.0 μB/f.u.

***

Lu6CuTe2 | PBE | relaxed

The space group is Pnma (No. 62) and the conventional cell measures 21.105, 3.941 and 11.303 Å, with angles of 90.00, 90.00 and 90.00 degrees. The distinct sites, in fractional coordinates, are Lu at (0.006, 0.250, 0.112), Lu at (0.024, 0.750, 0.381), Lu at (0.109, 0.250, 0.809), Lu at (0.141, 0.750, 0.059), Lu at (0.154, 0.250, 0.530), Lu at (0.232, 0.750, 0.737), Cu at (0.076, 0.750, 0.635), Te at (0.126, 0.250, 0.267) and Te at (0.239, 0.250, 0.954).

Its total energy is -170.379 eV per cell. The total magnetic moment comes out at 0.0 μB/f.u.

***

Lu2CuTe3 | PBE | relaxed

The space group is Pnma (No. 62) and the conventional cell measures 8.919, 4.135 and 16.901 Å, with angles of 90.00, 90.00 and 90.00 degrees. The distinct sites, in fractional coordinates, are Lu at (0.061, 0.250, 0.215), Lu at (0.242, 0.750, 0.473), Cu at (0.133, 0.250, 0.631), Te at (0.026, 0.250, 0.401), Te at (0.096, 0.750, 0.075) and Te at (0.202, 0.250, 0.783).

Its total energy is -108.665 eV per cell. Its offset from the most stable computed form is 41 kJ/mol of formula units. The total magnetic moment comes out at 0.0 μB/f.u.

***

LuTlCuTe3 | PBE | relaxed

The space group is Cmcm (No. 63) and the conventional cell measures 4.124, 15.462 and 11.171 Å, with angles of 90.00, 90.00 and 90.00 degrees. The distinct sites, in fractional coordinates, are Lu at (0.000, 0.000, 0.000), Tl at (0.000, 0.248, 0.250), Cu at (0.000, 0.466, 0.750), Te at (0.000, 0.073, 0.750) and Te at (0.000, 0.365, 0.560).

Its total energy is -95.973 eV per cell. The total magnetic moment comes out at 0.0 μB/f.u.

***

Tm2Lu5Cu2Te2 | PBE | relaxed

The space group is Imm2 (No. 44) and the conventional cell measures 3.901, 15.164 and 9.473 Å, with angles of 90.00, 90.00 and 90.00 degrees. The distinct sites, in fractional coordinates, are Tm at (0.000, 0.132, 0.000), Lu at (0.000, 0.000, 0.417), Lu at (0.000, 0.315, 0.795), Lu at (0.000, 0.356, 0.150), Cu at (0.000, 0.235, 0.488), Te at (0.000, 0.000, 0.755) and Te at (0.000, 0.500, 0.652).

Its total energy is -102.826 eV per cell. The total magnetic moment comes out at 0.0 μB/f.u.

***

YTm4Lu2Cu2Te2 | PBE | relaxed

The space group is Imm2 (No. 44) and the conventional cell measures 3.921, 15.251 and 9.454 Å, with angles of 90.00, 90.00 and 90.00 degrees. The distinct sites, in fractional coordinates, are Y at (0.000, 0.000, 0.000), Tm at (0.000, 0.131, 0.414), Tm at (0.000, 0.355, 0.262), Lu at (0.000, 0.314, 0.620), Cu at (0.000, 0.237, 0.927), Te at (0.000, 0.000, 0.662) and Te at (0.000, 0.500, 0.765).

Its total energy is -107.020 eV per cell. The total magnetic moment comes out at 0.1 μB/f.u.

***

LuThCu | PBE | relaxed

The space group is F-43m (No. 216) and the conventional cell measures 6.831, 6.831 and 6.831 Å, with angles of 90.00, 90.00 and 90.00 degrees. The distinct sites, in fractional coordinates, are Lu at (0.000, 0.000, 0.000), Th at (0.000, 0.000, 0.500) and Cu at (0.250, 0.250, 0.250).

Its total energy is -60.827 eV per cell. Its offset from the most stable computed form is 0 kJ/mol of formula units. The total magnetic moment comes out at 0.1 μB/f.u.

***

LuTl2Cu | PBE | relaxed

The space group is F-43m (No. 216) and the conventional cell measures 7.172, 7.172 and 7.172 Å, with angles of 90.00, 90.00 and 90.00 degrees. The distinct sites, in fractional coordinates, are Lu at (0.000, 0.000, 0.000), Tl at (0.000, 0.000, 0.500), Tl at (0.250, 0.250, 0.750) and Cu at (0.250, 0.250, 0.250).

Its total energy is -50.792 eV per cell. The total magnetic moment comes out at 0.0 μB/f.u.

***

LuTlCu | PBE | relaxed

The space group is F-43m (No. 216) and the conventional cell measures 6.754, 6.754 and 6.754 Å, with angles of 90.00, 90.00 and 90.00 degrees. The distinct sites, in fractional coordinates, are Lu at (0.000, 0.000, 0.000), Tl at (0.250, 0.250, 0.250) and Cu at (0.250, 0.250, 0.750).

Its total energy is -38.466 eV per cell. The total magnetic moment comes out at 0.0 μB/f.u.

***

Lu2TlCu | PBE | relaxed

The space group is F-43m (No. 216) and the conventional cell measures 7.173, 7.173 and 7.173 Å, with angles of 90.00, 90.00 and 90.00 degrees. The distinct sites, in fractional coordinates, are Lu at (0.000, 0.000, 0.000), Lu at (0.250, 0.250, 0.250), Tl at (0.000, 0.000, 0.500) and Cu at (0.250, 0.250, 0.750).

Its total energy is -58.130 eV per cell. The total magnetic moment comes out at 0.0 μB/f.u.